First-principles (PBE-GGA) data for crystalline LiScPd at its relaxed geometry, as listed in Alexandria.

```
data_LiScPd
_cell_length_a 4.626
_cell_length_b 9.235
_cell_length_c 4.856
_cell_angle_alpha 90.00
_cell_angle_beta 90.00
_cell_angle_gamma 90.00
_space_group_name_H-M_alt 'C m c m'
_space_group_IT_number 63
_space_group_name_Hall '-C 2c 2'
loop_
_atom_site_label
_atom_site_fract_x
_atom_site_fract_y
_atom_site_fract_z
Li1 0.000 0.056 0.250
Sc1 0.000 0.269 0.750
Pd1 0.000 0.403 0.250
```

Properties
* energy relative to the lowest polymorph listed for this composition: 0.71 kcal/mol of atoms
* formation energy from the elements: -0.54 eV per atom
* E_tot: -5.0178 eV/atom



First-principles (PBE-GGA) data for crystalline Li2YZrAs at its relaxed geometry, as listed in Alexandria.

```
data_Li2YZrAs
_cell_length_a 4.916
_cell_length_b 4.916
_cell_length_c 5.267
_cell_angle_alpha 90.00
_cell_angle_beta 90.00
_cell_angle_gamma 90.00
_space_group_name_H-M_alt 'P 4/m m m'
_space_group_IT_number 123
_space_group_name_Hall '-P 4 2'
loop_
_atom_site_label
_atom_site_fract_x
_atom_site_fract_y
_atom_site_fract_z
Li1 0.000 0.500 0.000
Y1 0.000 0.000 0.000
Zr1 0.000 0.000 0.500
As1 0.500 0.500 0.500
```

Properties
* formation energy from the elements: 1.15 eV per atom
* E_tot: -3.5492 eV/atom



First-principles (PBE-GGA) data for crystalline KTmGaO4 at its relaxed geometry, as listed in Alexandria.

```
data_KTmGaO4
_cell_length_a 5.935
_cell_length_b 7.119
_cell_length_c 9.520
_cell_angle_alpha 90.00
_cell_angle_beta 90.00
_cell_angle_gamma 90.00
_space_group_name_H-M_alt 'I m m a'
_space_group_IT_number 74
_space_group_name_Hall '-I 2b 2'
loop_
_atom_site_label
_atom_site_fract_x
_atom_site_fract_y
_atom_site_fract_z
K1 0.250 0.250 0.250
Tm1 0.000 0.000 0.000
Ga1 0.000 0.250 0.638
O1 0.000 0.042 0.762
O2 0.243 0.250 0.984
```

Properties
* E_tot: -6.0670 eV/atom
* formation energy without anion corrections: -1355 kJ/mol of formula units



First-principles (PBE-GGA) data for crystalline TbTmSc4 at its relaxed geometry, as listed in Alexandria.

```
data_TbTmSc4
_cell_length_a 6.548
_cell_length_b 18.353
_cell_length_c 5.287
_cell_angle_alpha 90.00
_cell_angle_beta 90.00
_cell_angle_gamma 90.00
_space_group_name_H-M_alt 'C m c m'
_space_group_IT_number 63
_space_group_name_Hall '-C 2c 2'
loop_
_atom_site_label
_atom_site_fract_x
_atom_site_fract_y
_atom_site_fract_z
Tb1 0.000 0.124 0.250
Tm1 0.000 0.374 0.750
Sc1 0.248 0.458 0.250
Sc2 0.249 0.292 0.250
```

Properties
* energy relative to the lowest polymorph listed for this composition: 0.66 kcal/mol of atoms
* formation energy from the elements: 0.06 eV per atom
* E_tot: -5.6754 eV/atom



First-principles (PBE-GGA) data for crystalline Li2PmMg2 at its relaxed geometry, as listed in Alexandria.

```
data_Li2PmMg2
_cell_length_a 15.435
_cell_length_b 3.254
_cell_length_c 5.169
_cell_angle_alpha 90.00
_cell_angle_beta 109.43
_cell_angle_gamma 90.00
_space_group_name_H-M_alt 'C 1 2/m 1'
_space_group_IT_number 12
_space_group_name_Hall '-C 2y'
loop_
_atom_site_label
_atom_site_fract_x
_atom_site_fract_y
_atom_site_fract_z
Li1 0.216 0.000 0.215
Pm1 0.000 0.500 0.000
Mg1 0.107 0.000 0.606
```

Properties
* energy relative to the lowest polymorph listed for this composition: 0.59 kcal/mol of atoms
* formation energy from the elements: -0.01 eV per atom
* E_tot: -2.3673 eV/atom



First-principles (PBE-GGA) data for crystalline Sr2Cr2Au at its relaxed geometry, as listed in Alexandria.

```
data_Sr2Cr2Au
_cell_length_a 6.242
_cell_length_b 6.242
_cell_length_c 7.964
_cell_angle_alpha 90.00
_cell_angle_beta 90.00
_cell_angle_gamma 90.00
_space_group_name_H-M_alt 'I 4/m m m'
_space_group_IT_number 139
_space_group_name_Hall '-I 4 2'
loop_
_atom_site_label
_atom_site_fract_x
_atom_site_fract_y
_atom_site_fract_z
Sr1 0.000 0.500 0.250
Cr1 0.000 0.000 0.168
Au1 0.000 0.000 0.500
```

Properties
* energy relative to the lowest polymorph listed for this composition: 4.57 kcal/mol of atoms
* formation energy from the elements: 0.61 eV per atom
* E_tot: -4.5721 eV/atom



First-principles (PBE-GGA) data for crystalline TcSO at its relaxed geometry, as listed in Alexandria.

```
data_TcSO
_cell_length_a 2.9883
_cell_length_b 2.9883
_cell_length_c 17.4949
_cell_angle_alpha 90.00
_cell_angle_beta 90.00
_cell_angle_gamma 120.00
_space_group_name_H-M_alt 'R 3 m'
_space_group_IT_number 160
_space_group_name_Hall 'R 3 -2"'
loop_
_atom_site_label
_atom_site_fract_x
_atom_site_fract_y
_atom_site_fract_z
Tc1 0.0000 0.0000 0.0000
S1 0.0000 0.0000 0.2400
O1 0.0000 0.0000 0.7347
```

Properties
* energy relative to the lowest polymorph listed for this composition: 7.16 kcal/mol of atoms
* E_tot: -7.0872 eV/atom
* formation energy without anion corrections: -175 kJ/mol of formula units



First-principles (PBE-GGA) data for crystalline Pm2Si4PtRh3 at its relaxed geometry, as listed in Alexandria.

```
data_Pm2Si4PtRh3
_cell_length_a 4.148
_cell_length_b 4.148
_cell_length_c 10.032
_cell_angle_alpha 90.00
_cell_angle_beta 90.00
_cell_angle_gamma 90.00
_space_group_name_H-M_alt 'P -4 m 2'
_space_group_IT_number 115
_space_group_name_Hall 'P -4 -2'
loop_
_atom_site_label
_atom_site_fract_x
_atom_site_fract_y
_atom_site_fract_z
Pm1 0.000 0.500 0.241
Si1 0.000 0.000 0.000
Si2 0.000 0.500 0.637
Si3 0.500 0.500 0.000
Pt1 0.000 0.000 0.500
Rh1 0.000 0.500 0.875
Rh2 0.500 0.500 0.500
```

Properties
* E_tot: -6.9839 eV/atom
* formation energy without anion corrections: -1018 kJ/mol of formula units